First-principles (PBE) data for YMgRh after structural relaxation, as listed in the Alexandria database.

- Mass density: 4.84 Mg/m³
- Energy relative to the elements: 0.620 eV/f.u.
- Calculated volume: 74 Å³/f.u.

a = 6.6674 Å, b = 6.6674 Å, c = 6.6674 Å
α = 90.00°, β = 90.00°, γ = 90.00°
Last column: nearest neighbours and their distance in Å.
Space group F-43m (No. 216)
Inequivalent atoms, fractional coordinates:
1 Y 0.0000 0.0000 0.0000 x4  4 Mg 2.89, 4 Rh 2.89
2 Mg 0.2500 0.2500 0.2500 x4  4 Y 2.89
3 Rh 0.2500 0.2500 0.7500 x4  4 Y 2.89


First-principles (PBE) data for Tb6Ce2YHo3 after structural relaxation, as listed in the Alexandria database.

- Mass density: 7.99 Mg/m³
- Energy relative to the elements: 0.592 eV/f.u.
- Calculated volume: 378 Å³/f.u.

a = 6.1394 Å, b = 10.6325 Å, c = 11.7551 Å
α = 90.00°, β = 100.03°, γ = 90.00°
Last column: nearest neighbours and their distance in Å.
Space group C2/m (No. 12)
Inequivalent atoms, fractional coordinates:
1 Tb 0.2481 0.0000 0.2503 x4  6 Tb 3.53-3.57, 3 Ho 3.53-3.54, 2 Ce 3.54, 1 Y 3.55
2 Tb 0.2482 0.1679 0.7500 x8  6 Tb 3.53-3.57, 3 Ho 3.54-3.55, 2 Ce 3.54, 1 Y 3.55
3 Ce 0.0000 0.1665 0.0000 x4  6 Tb 3.54, 3 Ce 3.54-3.55, 3 Y 3.54-3.55
4 Y 0.0000 0.5000 0.0000 x2  6 Ce 3.54-3.55, 6 Tb 3.55
5 Ho 0.0000 0.0000 0.5000 x2  6 Tb 3.53-3.55, 6 Ho 3.54-3.55
6 Ho 0.0000 0.3338 0.5000 x4  6 Ho 3.53-3.55, 6 Tb 3.54-3.55


First-principles (PBE) data for SrTa2Tc after structural relaxation, as listed in the Alexandria database.

- Mass density: 10.93 Mg/m³
- Energy relative to the elements: 2.137 eV/f.u.
- ΔE to the lowest computed polymorph: 8.6 kJ per mole of atoms
- Calculated volume: 83 Å³/f.u.

a = 3.3758 Å, b = 4.9316 Å, c = 9.9895 Å
α = 90.00°, β = 90.00°, γ = 90.00°
Last column: nearest neighbours and their distance in Å.
Space group Cmmm (No. 65)
Inequivalent atoms, fractional coordinates:
1 Sr 0.0000 0.0000 0.0000 x2  4 Sr 2.99
2 Ta 0.0000 0.5000 0.2997 x4  2 Tc 2.62
3 Tc 0.0000 0.0000 0.5000 x2  4 Ta 2.62


First-principles (PBE) data for LaYRu2 after structural relaxation, as listed in the Alexandria database.

- Mass density: 8.13 Mg/m³
- Energy relative to the elements: 0.445 eV/f.u.
- Calculated volume: 88 Å³/f.u.

a = 8.6089 Å, b = 3.4951 Å, c = 6.0176 Å
α = 90.00°, β = 104.11°, γ = 90.00°
Last column: nearest neighbours and their distance in Å.
Space group C2/m (No. 12)
Inequivalent atoms, fractional coordinates:
1 La 0.0000 0.0000 0.0000 x2  6 Ru 2.77-2.86
2 Y 0.0000 0.5000 0.5000 x2  6 Ru 2.94-3.06
3 Ru 0.2469 0.0000 0.7792 x4  3 La 2.77-2.86, 3 Y 2.94-3.06


First-principles (PBE) data for TiCr2Ir after structural relaxation, as listed in the Alexandria database.

- Mass density: 9.68 Mg/m³
- Energy relative to the elements: 1.576 eV/f.u.
- ΔE to the lowest computed polymorph: 49.0 kJ per mole of atoms
- Calculated volume: 59 Å³/f.u.

a = 6.8957 Å, b = 6.8957 Å, c = 4.9670 Å
α = 90.00°, β = 90.00°, γ = 90.00°
Last column: nearest neighbours and their distance in Å.
Space group I-42d (No. 122)
Inequivalent atoms, fractional coordinates:
1 Ti 0.0000 0.0000 0.0000 x4  2 Ir 2.48, 4 Cr 2.60
2 Cr 0.2320 0.2500 0.6250 x8  2 Ir 2.43, 2 Cr 2.50, 2 Ti 2.60
3 Ir 0.0000 0.0000 0.5000 x4  4 Cr 2.43, 2 Ti 2.48


First-principles (PBE) data for Sr2HfFe after structural relaxation, as listed in the Alexandria database.

- Mass density: 4.43 Mg/m³
- Energy relative to the elements: 2.945 eV/f.u.
- ΔE to the lowest computed polymorph: 0.0 kJ per mole of atoms
- Calculated volume: 154 Å³/f.u.

a = 11.6121 Å, b = 11.6121 Å, c = 4.5559 Å
α = 90.00°, β = 90.00°, γ = 90.00°
Last column: nearest neighbours and their distance in Å.
Space group I-42d (No. 122)
Inequivalent atoms, fractional coordinates:
1 Sr 0.0802 0.2500 0.1250 x8  2 Fe 3.10
2 Hf 0.0000 0.0000 0.5000 x4  2 Fe 2.28
3 Fe 0.0000 0.0000 0.0000 x4  2 Hf 2.28


First-principles (PBE) data for PuPbBr after structural relaxation, as listed in the Alexandria database.

- Raw formation energy: -607 meV/atom
- Mass density: 9.32 Mg/m³
- Calculated volume: 95 Å³/f.u.

a = 6.4155 Å, b = 3.7040 Å, c = 16.0994 Å
α = 90.00°, β = 98.36°, γ = 90.00°
Last column: nearest neighbours and their distance in Å.
Space group C2/m (No. 12)
Inequivalent atoms, fractional coordinates:
1 Pu 0.2375 0.0000 0.2395 x4  3 Br 2.94
2 Pb 0.0357 0.0000 0.5956 x4  1 Pb 3.05, 3 Pu 3.39
3 Br 0.1421 0.0000 0.8874 x4  3 Pu 2.94


First-principles (PBE) data for Sr5HgPb4 after structural relaxation, as listed in the Alexandria database.

- Mass density: 7.14 Mg/m³
- Energy relative to the elements: -5.410 eV/f.u.
- Calculated volume: 342 Å³/f.u.

a = 3.9145 Å, b = 3.9145 Å, c = 22.2885 Å
α = 90.00°, β = 90.00°, γ = 90.00°
Last column: nearest neighbours and their distance in Å.
Space group P4/mmm (No. 123)
Inequivalent atoms, fractional coordinates:
1 Sr 0.0000 0.0000 0.0000 x1  8 Pb 3.60, 4 Sr 3.91
2 Sr 0.0000 0.0000 0.2061 x2  8 Pb 3.60-3.61, 4 Sr 3.91
3 Sr 0.0000 0.0000 0.4088 x2  4 Hg 3.43, 4 Pb 3.54
4 Hg 0.5000 0.5000 0.5000 x1  8 Sr 3.43
5 Pb 0.5000 0.5000 0.1031 x2  8 Sr 3.60, 4 Pb 3.91
6 Pb 0.5000 0.5000 0.3099 x2  8 Sr 3.54-3.61, 4 Pb 3.91


First-principles (PBE) data for SnRu3N after structural relaxation, as listed in the Alexandria database.

- Raw formation energy: 132 meV/atom
- Mass density: 10.32 Mg/m³
- ΔE to the lowest computed polymorph: 0.0 kJ per mole of atoms
- Calculated volume: 70 Å³/f.u.

a = 4.1242 Å, b = 4.1242 Å, c = 4.1242 Å
α = 90.00°, β = 90.00°, γ = 90.00°
Last column: nearest neighbours and their distance in Å.
Space group Pm-3m (No. 221)
Inequivalent atoms, fractional coordinates:
1 Sn 0.0000 0.0000 0.0000 x1  12 Ru 2.92
2 Ru 0.0000 0.5000 0.5000 x3  2 N 2.06
3 N 0.5000 0.5000 0.5000 x1  6 Ru 2.06


First-principles (PBE) data for NdCuO3 after structural relaxation, as listed in the Alexandria database.

- Raw formation energy: -1960 meV/atom
- Mass density: 6.74 Mg/m³
- Calculated volume: 63 Å³/f.u.

a = 6.5169 Å, b = 7.1743 Å, c = 5.3905 Å
α = 90.00°, β = 90.00°, γ = 90.00°
Last column: nearest neighbours and their distance in Å.
Space group Pnma (No. 62)
Inequivalent atoms, fractional coordinates:
1 Nd 0.1056 0.2500 0.0263 x4  8 O 2.43-2.55
2 Cu 0.0000 0.0000 0.5000 x4  4 O 1.86-1.90
3 O 0.0364 0.7500 0.3898 x4  2 Cu 1.90
4 O 0.1540 0.5463 0.7844 x8  1 Cu 1.86


First-principles (PBE) data for Ga2PPd after structural relaxation, as listed in the Alexandria database.

- Mass density: 5.31 Mg/m³
- Energy relative to the elements: -0.341 eV/f.u.
- ΔE to the lowest computed polymorph: 0.0 kJ per mole of atoms
- Calculated volume: 87 Å³/f.u.

a = 5.9191 Å, b = 5.9191 Å, c = 9.8788 Å
α = 90.00°, β = 90.00°, γ = 90.00°
Last column: nearest neighbours and their distance in Å.
Space group I-42d (No. 122)
Inequivalent atoms, fractional coordinates:
1 Ga 0.2368 0.2500 0.1250 x8  2 P 2.38, 2 Pd 2.48
2 P 0.0000 0.0000 0.0000 x4  4 Ga 2.38
3 Pd 0.0000 0.0000 0.5000 x4  4 Ga 2.48


First-principles (PBE) data for KNa2Eu after structural relaxation, as listed in the Alexandria database.

- Mass density: 2.11 Mg/m³
- Energy relative to the elements: 0.311 eV/f.u.
- ΔE to the lowest computed polymorph: 0.0 kJ per mole of atoms
- Calculated volume: 186 Å³/f.u.

a = 4.1369 Å, b = 4.1369 Å, c = 10.8932 Å
α = 90.00°, β = 90.00°, γ = 90.00°
Last column: nearest neighbours and their distance in Å.
Space group P4/mmm (No. 123)
Inequivalent atoms, fractional coordinates:
1 K 0.0000 0.0000 0.0000 x1  8 Na 4.12, 4 K 4.14
2 Na 0.5000 0.5000 0.2664 x2  4 Eu 3.88, 4 K 4.12, 4 Na 4.14
3 Eu 0.0000 0.0000 0.5000 x1  8 Na 3.88, 4 Eu 4.14


First-principles (PBE) data for La5Tb4Pm2 after structural relaxation, as listed in the Alexandria database.

- Mass density: 6.75 Mg/m³
- Energy relative to the elements: 1.849 eV/f.u.
- ΔE to the lowest computed polymorph: 9.3 kJ per mole of atoms
- Calculated volume: 399 Å³/f.u.

a = 3.5748 Å, b = 9.3800 Å, c = 23.7782 Å
α = 90.00°, β = 90.00°, γ = 90.00°
Last column: nearest neighbours and their distance in Å.
Space group Immm (No. 71)
Inequivalent atoms, fractional coordinates:
1 La 0.0000 0.0000 0.0000 x2  4 Tb 3.44, 2 La 3.57
2 La 0.0000 0.2992 0.3538 x8  1 Pm 3.46, 3 Tb 3.53-3.63, 3 La 3.57-3.77
3 Tb 0.0000 0.1869 0.5000 x4  7 Tb 3.39-3.57, 4 La 3.44-3.63
4 Tb 0.0000 0.5000 0.0962 x4  1 Pm 3.22, 6 Tb 3.39-3.57, 4 La 3.53
5 Pm 0.0000 0.5000 0.2315 x4  1 Tb 3.22, 2 La 3.46, 2 Pm 3.57


First-principles (PBE) data for ZrBe2Ru after structural relaxation, as listed in the Alexandria database.

- Mass density: 6.29 Mg/m³
- Energy relative to the elements: -0.105 eV/f.u.
- ΔE to the lowest computed polymorph: 32.0 kJ per mole of atoms
- Calculated volume: 55 Å³/f.u.

a = 6.0549 Å, b = 6.0549 Å, c = 6.0549 Å
α = 90.00°, β = 90.00°, γ = 90.00°
Last column: nearest neighbours and their distance in Å.
Space group F-43m (No. 216)
Inequivalent atoms, fractional coordinates:
1 Zr 0.0000 0.0000 0.0000 x4  4 Be 2.62, 4 Ru 2.62
2 Be 0.0000 0.0000 0.5000 x4  4 Ru 2.62, 4 Be 2.62
3 Be 0.2500 0.2500 0.2500 x4  4 Be 2.62, 4 Zr 2.62
4 Ru 0.2500 0.2500 0.7500 x4  4 Zr 2.62, 4 Be 2.62


First-principles (PBE) data for RbNa2Zn after structural relaxation, as listed in the Alexandria database.

- Mass density: 1.96 Mg/m³
- Energy relative to the elements: 0.763 eV/f.u.
- Calculated volume: 166 Å³/f.u.

a = 5.1677 Å, b = 5.1677 Å, c = 24.9297 Å
α = 90.00°, β = 90.00°, γ = 90.00°
Last column: nearest neighbours and their distance in Å.
Space group I-42d (No. 122)
Inequivalent atoms, fractional coordinates:
1 Rb 0.0000 0.0000 0.0000 x4  4 Zn 3.65, 4 Na 3.71
2 Na 0.2011 0.2500 0.6250 x8  2 Na 3.32, 2 Zn 3.53, 2 Rb 3.71
3 Zn 0.0000 0.0000 0.5000 x4  4 Na 3.53, 4 Rb 3.65


First-principles (PBE) data for Ac12Os3N5 after structural relaxation, as listed in the Alexandria database.

- Raw formation energy: -460 meV/atom
- Mass density: 9.71 Mg/m³
- Calculated volume: 575 Å³/f.u.

a = 16.6339 Å, b = 16.6339 Å, c = 16.6339 Å
α = 90.00°, β = 90.00°, γ = 90.00°
Last column: nearest neighbours and their distance in Å.
Space group Ia-3d (No. 230)
Inequivalent atoms, fractional coordinates:
1 Ac 0.0286 0.0554 0.6518 x96  2 N 2.47-2.73
2 Os 0.0000 0.2500 0.1250 x24  8 Ac 3.17-3.30
3 N 0.0000 0.0000 0.0000 x16  6 Ac 2.73
4 N 0.0000 0.2500 0.3750 x24  4 Ac 2.47


First-principles (PBE) data for VSi2Pt after structural relaxation, as listed in the Alexandria database.

- Raw formation energy: -278 meV/atom
- Mass density: 9.26 Mg/m³
- Calculated volume: 54 Å³/f.u.

a = 6.0076 Å, b = 6.0076 Å, c = 6.0076 Å
α = 90.00°, β = 90.00°, γ = 90.00°
Last column: nearest neighbours and their distance in Å.
Space group Fm-3m (No. 225)
Inequivalent atoms, fractional coordinates:
1 V 0.0000 0.0000 0.0000 x4  8 Si 2.60
2 Si 0.2500 0.2500 0.2500 x8  4 Pt 2.60, 4 V 2.60
3 Pt 0.0000 0.0000 0.5000 x4  8 Si 2.60


First-principles (PBE) data for PuCd2Au after structural relaxation, as listed in the Alexandria database.

- Mass density: 12.46 Mg/m³
- Energy relative to the elements: -0.530 eV/f.u.
- Calculated volume: 89 Å³/f.u.

a = 3.1414 Å, b = 3.1414 Å, c = 8.9876 Å
α = 90.00°, β = 90.00°, γ = 90.00°
Last column: nearest neighbours and their distance in Å.
Space group P4/mmm (No. 123)
Inequivalent atoms, fractional coordinates:
1 Pu 0.0000 0.0000 0.0000 x1  4 Pu 3.14, 8 Cd 3.35
2 Cd 0.5000 0.5000 0.2796 x2  4 Au 2.98, 4 Cd 3.14
3 Au 0.0000 0.0000 0.5000 x1  8 Cd 2.98, 4 Au 3.14


First-principles (PBE) data for BiTePt after structural relaxation, as listed in the Alexandria database.

- Raw formation energy: -349 meV/atom
- Mass density: 11.40 Mg/m³
- ΔE to the lowest computed polymorph: 0.0 kJ per mole of atoms
- Calculated volume: 77 Å³/f.u.

a = 6.7653 Å, b = 6.7653 Å, c = 6.7653 Å
α = 90.00°, β = 90.00°, γ = 90.00°
Last column: nearest neighbours and their distance in Å.
Space group P2_13 (No. 198)
Inequivalent atoms, fractional coordinates:
1 Bi 0.1311 0.3689 0.6311 x4  3 Pt 2.82, 1 Te 3.02
2 Te 0.1267 0.1267 0.1267 x4  3 Pt 2.77, 1 Bi 3.02
3 Pt 0.0051 0.9949 0.4949 x4  3 Te 2.77, 3 Bi 2.82


First-principles (PBE) data for ZrScRe2 after structural relaxation, as listed in the Alexandria database.

- Mass density: 12.12 Mg/m³
- Energy relative to the elements: 0.011 eV/f.u.
- Calculated volume: 70 Å³/f.u.

a = 2.8446 Å, b = 4.5263 Å, c = 5.4658 Å
α = 90.00°, β = 98.18°, γ = 90.00°
Last column: nearest neighbours and their distance in Å.
Space group P2/m (No. 10)
Inequivalent atoms, fractional coordinates:
1 Zr 0.0000 0.0000 0.0000 x1  4 Re 2.80, 2 Zr 2.84, 2 Sc 2.90
2 Sc 0.5000 0.0000 0.5000 x1  4 Re 2.78, 2 Sc 2.84, 2 Zr 2.90
3 Re 0.2301 0.5000 0.7400 x2  4 Re 2.76-3.03, 2 Sc 2.78, 2 Zr 2.80